Entry 1:
An optimized crystal structure of TcAs2Os, computed with GGA-PBE.

Cell lengths 5.455, 5.455, 5.455 Å; angles 147.61, 134.41, 57.03 degrees
Fractional coordinates of all 4 atoms:
As 0.989 0.989 0.000
As 0.266 0.766 0.500
Tc 0.761 0.261 0.500
Os 0.485 0.485 0.000

Calculated values
- Total magnetization: 0.00 μB per atom
- ΔH_f (0 K): 0.3058 eV/atom
- Theoretical density: 11.80 g/cm³
- Space group: Imm2 (44)

Entry 2:
An optimized crystal structure of SmUS2, computed with GGA-PBE.

Cell lengths 3.906, 3.906, 6.930 Å; angles 73.63, 73.63, 60.00 degrees
Last column: magnetic moment on the atom in μB.
Fractional coordinates of all 4 atoms:
S 0.753 0.753 0.742  -0.04
U 0.500 0.500 0.500  2.31
S 0.247 0.247 0.258  -0.04
Sm 0.000 0.000 0.000  0.00

Calculated values
- Total magnetization: 0.65 μB per atom
- Formation energy (no corrections): -1.67 eV/atom
- Theoretical density: 8.68 g/cm³
- Space group: R-3m (166)

Entry 3:
An optimized crystal structure of AlRe3, computed with GGA-PBE.

Cell lengths 4.397, 4.397, 3.043 Å; angles 90.00, 90.00, 90.00 degrees
Fractional coordinates of all 4 atoms:
Re 0.500 0.500 0.000
Al 0.000 0.000 0.000
Re 0.000 0.500 0.500
Re 0.500 0.000 0.500

Calculated values
- Total magnetization: 0.00 μB per atom
- ΔH_f (0 K): 0.0312 eV/atom
- Theoretical density: 16.53 g/cm³
- Space group: P4/mmm (123)

Entry 4:
An optimized crystal structure of Y3Pu2Te8, computed with GGA-PBE.

Cell lengths 7.472, 8.595, 8.940 Å; angles 118.73, 105.78, 90.00 degrees
Last column: magnetic moment on the atom in μB.
Fractional coordinates of all 13 atoms:
Te 0.588 0.630 0.759  -0.11
Pu 0.670 0.749 0.498  5.14
Y 0.000 0.254 0.000  -0.01
Te 0.884 0.612 0.223  -0.16
Te 0.087 0.879 0.757  -0.07
Y 0.500 0.000 0.000  -0.01
Pu 0.330 0.251 0.502  5.14
Te 0.412 0.871 0.241  -0.11
Y 0.000 0.746 0.000  -0.01
Te 0.116 0.388 0.777  -0.16
Te 0.913 0.121 0.243  -0.07
Te 0.412 0.370 0.241  -0.11
Te 0.588 0.129 0.759  -0.11

Calculated values
- Total magnetization: 0.69 μB per atom
- Formation energy (no corrections): -1.10 eV/atom
- Theoretical density: 6.16 g/cm³
- Space group: C2/m (12)

Entry 5:
An optimized crystal structure of CeY2F, computed with GGA-PBE.

Cell lengths 3.572, 3.572, 8.996 Å; angles 78.55, 78.55, 60.00 degrees
Last column: magnetic moment on the atom in μB.
Fractional coordinates of all 4 atoms:
Y 0.728 0.728 0.815  0.01
F 0.000 0.000 0.000  0.00
Y 0.272 0.272 0.185  0.01
Ce 0.500 0.500 0.500  0.49

Calculated values
- Total magnetization: 0.17 μB per atom
- Formation energy (no corrections): -1.10 eV/atom
- Theoretical density: 5.78 g/cm³
- Space group: R-3m (166)

Entry 6:
An optimized crystal structure of SrMo2Os, computed with GGA-PBE.

Cell lengths 5.660, 5.660, 2.683 Å; angles 90.00, 90.00, 121.31 degrees
Fractional coordinates of all 4 atoms:
Mo 0.000 0.000 0.000
Sr 0.000 0.500 0.500
Mo 0.500 0.500 0.000
Os 0.500 0.000 0.500

Calculated values
- Total magnetization: 0.00 μB per atom
- ΔH_f (0 K): 1.1011 eV/atom
- Theoretical density: 10.62 g/cm³
- Space group: Cmmm (65)

Entry 7:
An optimized crystal structure of LaCe2CoAu, computed with GGA-PBE.

Cell lengths 6.751, 6.488, 6.516 Å; angles 119.86, 90.00, 90.00 degrees
Last column: magnetic moment on the atom in μB.
Fractional coordinates of all 10 atoms:
Co 0.250 0.933 0.866  -0.04
Au 0.750 0.295 0.591  0.00
La 0.750 0.761 0.522  0.02
Ce 0.500 0.725 0.000  0.14
Ce 0.000 0.725 0.000  0.14
La 0.250 0.239 0.478  0.02
Ce 0.500 0.275 0.000  0.14
Co 0.750 0.067 0.134  -0.04
Ce 0.000 0.275 0.000  0.14
Au 0.250 0.705 0.409  0.00

Calculated values
- Total magnetization: 0.07 μB per atom
- ΔH_f (0 K): -0.3131 eV/atom
- Theoretical density: 9.06 g/cm³
- Space group: Cmcm (63)

Entry 8:
An optimized crystal structure of RhAu2I, computed with GGA-PBE.

Cell lengths 7.946, 7.946, 6.231 Å; angles 50.39, 50.39, 90.00 degrees
Fractional coordinates of all 8 atoms:
I 0.750 0.250 0.500
Au 0.875 0.851 0.750
I 0.000 0.000 0.000
Rh 0.250 0.750 0.500
Rh 0.500 0.500 0.000
Au 0.601 0.125 0.250
Au 0.375 0.399 0.750
Au 0.149 0.625 0.250

Calculated values
- Total magnetization: 0.00 μB per atom
- Formation energy (no corrections): 0.46 eV/atom
- Theoretical density: 12.18 g/cm³
- Space group: I-42d (122)

Entry 9:
An optimized crystal structure of DyYAlIn, computed with GGA-PBE.

Cell lengths 5.218, 5.218, 5.218 Å; angles 60.00, 60.00, 60.00 degrees
Fractional coordinates of all 4 atoms:
Y 0.750 0.750 0.750
Al 0.000 0.000 0.000
In 0.500 0.500 0.500
Dy 0.250 0.250 0.250

Calculated values
- Total magnetization: 0.00 μB per atom
- ΔH_f (0 K): -0.4264 eV/atom
- Theoretical density: 6.50 g/cm³
- Space group: F-43m (216)

Entry 10:
An optimized crystal structure of HgOs2Pb, computed with GGA-PBE.

Cell lengths 4.697, 3.003, 5.513 Å; angles 91.41, 90.00, 90.00 degrees
Fractional coordinates of all 4 atoms:
Hg 0.500 0.750 0.750
Pb 0.500 0.250 0.250
Os 0.000 0.459 0.549
Os 0.000 0.041 0.951

Calculated values
- Total magnetization: 0.00 μB per atom
- ΔH_f (0 K): 1.1135 eV/atom
- Theoretical density: 16.84 g/cm³
- Space group: P2/m (10)

Entry 11:
An optimized crystal structure of YCoSi2Ni2, computed with GGA-PBE.

Cell lengths 4.251, 4.251, 5.160 Å; angles 90.00, 90.00, 90.00 degrees
Fractional coordinates of all 6 atoms:
Ni 0.500 0.500 0.748
Si 0.000 0.500 0.000
Co 0.000 0.000 0.000
Y 0.000 0.000 0.500
Ni 0.500 0.500 0.252
Si 0.500 0.000 0.000

Calculated values
- Total magnetization: 0.00 μB per atom
- Formation energy (no corrections): -0.30 eV/atom
- Theoretical density: 5.72 g/cm³
- Space group: P4/mmm (123)

Entry 12:
An optimized crystal structure of CrRe2I, computed with GGA-PBE.

Cell lengths 3.863, 3.863, 10.531 Å; angles 79.43, 79.43, 90.00 degrees
Last column: magnetic moment on the atom in μB.
Fractional coordinates of all 8 atoms:
Cr 0.250 0.750 0.500  3.11
Re 0.564 0.125 0.250  -0.18
Re 0.875 0.814 0.750  -0.14
Re 0.186 0.625 0.250  -0.18
I 0.750 0.250 0.500  -0.04
Re 0.375 0.436 0.750  -0.14
Cr 0.500 0.500 0.000  3.10
I 0.000 0.000 0.000  -0.04

Calculated values
- Total magnetization: 0.75 μB per atom
- Formation energy (no corrections): 1.21 eV/atom
- Theoretical density: 12.07 g/cm³
- Space group: I-42d (122)

Entry 13:
An optimized crystal structure of TiVS4, computed with GGA-PBE.

Cell lengths 5.570, 5.570, 6.375 Å; angles 115.91, 115.91, 90.00 degrees
Last column: magnetic moment on the atom in μB.
Fractional coordinates of all 6 atoms:
S 0.615 0.600 0.752  -0.04
V 0.500 0.500 0.000  0.84
S 0.848 0.385 0.248  -0.04
S 0.137 0.152 0.752  -0.04
Ti 0.750 0.250 0.500  0.27
S 0.400 0.863 0.248  -0.04

Calculated values
- Total magnetization: 0.17 μB per atom
- Formation energy (no corrections): -0.80 eV/atom
- Theoretical density: 2.42 g/cm³
- Space group: I-4 (82)

Entry 14:
An optimized crystal structure of ZrPtSCl2, computed with GGA-PBE.

Cell lengths 4.955, 4.955, 5.008 Å; angles 90.00, 90.00, 90.00 degrees
Last column: magnetic moment on the atom in μB.
Fractional coordinates of all 5 atoms:
S 0.000 0.000 0.500  0.02
Cl 0.500 0.000 0.000  0.00
Zr 0.000 0.000 0.000  -0.01
Cl 0.000 0.500 0.000  0.00
Pt 0.500 0.500 0.500  0.45

Calculated values
- Total magnetization: 0.10 μB per atom
- Formation energy (no corrections): -0.22 eV/atom
- Theoretical density: 5.26 g/cm³
- Space group: P4/mmm (123)

Entry 15:
An optimized crystal structure of HgH3Ir, computed with GGA-PBE.

Cell lengths 3.632, 3.632, 3.632 Å; angles 90.00, 90.00, 90.00 degrees
Fractional coordinates of all 5 atoms:
Hg 0.500 0.500 0.500
H 0.500 0.000 0.000
H 0.000 0.500 0.000
Ir 0.000 0.000 0.000
H 0.000 0.000 0.500

Calculated values
- Total magnetization: 0.00 μB per atom
- DFT total energy: -3.50 eV per atom
- Theoretical density: 13.72 g/cm³
- Space group: Pm-3m (221)

Entry 16:
An optimized crystal structure of Sm2SbS5, computed with GGA-PBE.

Cell lengths 5.323, 7.343, 13.112 Å; angles 90.00, 90.00, 111.25 degrees
Fractional coordinates of all 16 atoms:
Sm 0.846 0.692 0.432
S 0.703 0.407 0.588
Sb 0.832 0.664 0.750
Sm 0.154 0.308 0.568
Sm 0.846 0.692 0.068
Sb 0.168 0.336 0.250
S 0.956 0.912 0.609
Sm 0.154 0.308 0.932
S 0.276 0.553 0.750
S 0.044 0.088 0.109
S 0.703 0.407 0.912
S 0.297 0.593 0.088
S 0.724 0.447 0.250
S 0.297 0.593 0.412
S 0.044 0.088 0.391
S 0.956 0.912 0.891

Calculated values
- Total magnetization: 0.00 μB per atom
- Formation energy (no corrections): -1.25 eV/atom
- Theoretical density: 4.05 g/cm³
- Space group: Cmcm (63)

Entry 17:
An optimized crystal structure of NaPd2PtCl, computed with GGA-PBE.

Cell lengths 4.885, 5.665, 4.885 Å; angles 90.00, 90.00, 90.00 degrees
Fractional coordinates of all 5 atoms:
Cl 0.500 0.500 0.500
Pt 0.000 0.000 0.000
Pd 0.000 0.000 0.500
Pd 0.500 0.000 0.000
Na 0.000 0.500 0.000

Calculated values
- Total magnetization: 0.00 μB per atom
- Formation energy (no corrections): 0.42 eV/atom
- Theoretical density: 5.73 g/cm³
- Space group: P4/mmm (123)

Entry 18:
An optimized crystal structure of MnCoSbRu, computed with GGA-PBE.

Cell lengths 4.346, 4.346, 4.346 Å; angles 60.00, 60.00, 60.00 degrees
Last column: magnetic moment on the atom in μB.
Fractional coordinates of all 4 atoms:
Ru 0.500 0.500 0.500  0.33
Co 0.000 0.000 0.000  1.20
Sb 0.250 0.250 0.250  0.00
Mn 0.750 0.750 0.750  3.42

Calculated values
- Total magnetization: 1.25 μB per atom
- Formation energy (no corrections): -0.07 eV/atom
- Theoretical density: 9.63 g/cm³
- Space group: F-43m (216)

Entry 19:
An optimized crystal structure of La2TbGe3Pt4, computed with GGA-PBE.

Cell lengths 4.384, 4.384, 11.100 Å; angles 90.00, 90.00, 90.00 degrees
Fractional coordinates of all 10 atoms:
Ge 0.500 0.000 0.881
Pt 0.500 0.000 0.657
La 0.500 0.000 0.225
Ge 0.000 0.000 0.500
Ge 0.000 0.500 0.119
Pt 0.000 0.500 0.343
Tb 0.500 0.500 0.500
Pt 0.500 0.500 0.000
La 0.000 0.500 0.775
Pt 0.000 0.000 0.000

Calculated values
- Total magnetization: 0.00 μB per atom
- ΔH_f (0 K): -1.0009 eV/atom
- Theoretical density: 11.17 g/cm³
- Space group: P-4m2 (115)

Entry 20:
An optimized crystal structure of Ca2YTe, computed with GGA-PBE.

Cell lengths 9.510, 9.510, 7.463 Å; angles 50.42, 50.42, 90.00 degrees
Fractional coordinates of all 8 atoms:
Ca 0.375 0.315 0.750
Ca 0.875 0.935 0.750
Ca 0.065 0.625 0.250
Te 0.000 0.000 0.000
Y 0.500 0.500 0.000
Te 0.750 0.250 0.500
Y 0.250 0.750 0.500
Ca 0.685 0.125 0.250

Calculated values
- Total magnetization: 0.00 μB per atom
- Formation energy (no corrections): -0.35 eV/atom
- Theoretical density: 3.36 g/cm³
- Space group: I-42d (122)

Entry 21:
An optimized crystal structure of LiNi3I, computed with GGA-PBE.

Cell lengths 4.651, 4.651, 4.651 Å; angles 90.00, 90.00, 90.00 degrees
Fractional coordinates of all 5 atoms:
Ni 0.000 0.000 0.500
Ni 0.000 0.500 0.000
Li 0.500 0.500 0.500
I 0.000 0.000 0.000
Ni 0.500 0.000 0.000

Calculated values
- Total magnetization: 0.00 μB per atom
- Formation energy (no corrections): 0.78 eV/atom
- Theoretical density: 5.11 g/cm³
- Space group: Pm-3m (221)

Entry 22:
An optimized crystal structure of LaHgBiSb, computed with GGA-PBE.

Cell lengths 4.710, 4.962, 4.933 Å; angles 90.00, 90.00, 90.00 degrees
Fractional coordinates of all 4 atoms:
La 0.500 0.000 0.500
Hg 0.000 0.500 0.500
Bi 0.500 0.500 0.000
Sb 0.000 0.000 0.000

Calculated values
- Total magnetization: 0.00 μB per atom
- Formation energy (no corrections): -0.59 eV/atom
- Theoretical density: 9.65 g/cm³
- Space group: Pmmm (47)

Entry 23:
An optimized crystal structure of Mg8InCu2, computed with GGA-PBE.

Cell lengths 4.982, 7.268, 7.268 Å; angles 113.06, 98.21, 98.21 degrees
Fractional coordinates of all 11 atoms:
Mg 0.916 0.932 0.673
Cu 0.000 0.313 0.687
Mg 0.084 0.327 0.068
Cu 0.000 0.687 0.313
Mg 0.916 0.673 0.932
Mg 0.702 0.390 0.390
Mg 0.084 0.068 0.327
Mg 0.500 0.751 0.249
In 0.500 0.000 0.000
Mg 0.500 0.249 0.751
Mg 0.298 0.610 0.610

Calculated values
- Total magnetization: 0.00 μB per atom
- ΔH_f (0 K): -0.0302 eV/atom
- Theoretical density: 3.10 g/cm³
- Space group: C2/m (12)

Entry 24:
An optimized crystal structure of Li3La5Ti8O24, computed with GGA-PBE.

Cell lengths 7.793, 8.762, 8.733 Å; angles 113.88, 90.00, 116.41 degrees
Fractional coordinates of all 40 atoms:
O 0.821 0.209 0.997
O 0.914 0.828 0.197
La 0.129 0.257 0.515
La 0.369 0.738 0.491
Li 0.500 0.000 0.000
La 0.631 0.262 0.509
O 0.924 0.371 0.741
O 0.155 0.864 0.725
O 0.000 0.500 0.500
O 0.182 0.364 0.216
La 0.000 0.000 0.000
Ti 0.812 0.129 0.759
La 0.871 0.743 0.485
O 0.447 0.371 0.741
O 0.076 0.629 0.259
Li 0.216 0.432 0.015
O 0.803 0.000 0.500
O 0.500 0.500 0.500
Ti 0.188 0.871 0.241
O 0.458 0.917 0.307
Ti 0.561 0.633 0.761
O 0.845 0.136 0.275
O 0.086 0.172 0.803
O 0.292 0.136 0.275
O 0.612 0.791 0.003
O 0.179 0.791 0.003
O 0.310 0.620 0.725
O 0.197 0.000 0.500
O 0.388 0.209 0.997
Ti 0.439 0.367 0.239
Ti 0.072 0.633 0.761
Ti 0.928 0.367 0.239
O 0.542 0.083 0.693
O 0.553 0.629 0.259
Li 0.784 0.568 0.985
Ti 0.317 0.129 0.759
O 0.818 0.636 0.784
O 0.690 0.380 0.275
O 0.708 0.864 0.725
Ti 0.683 0.871 0.241

Calculated values
- Total magnetization: 0.00 μB per atom
- Formation energy (no corrections): -3.09 eV/atom
- Theoretical density: 5.17 g/cm³
- Space group: C2/m (12)